PaCu2HO6 (GGA-PBE, relaxed); ρ = 5.8 Mg/m³; final energy = -128.7 eV/cell
1.0
4.939 -4.689 0.000
4.939 4.689 0.000
-0.010 0.000 5.628
Pa Cu H O
2 4 2 12
Direct
0.166 0.834 0.750 Pa
0.834 0.166 0.250 Pa
0.108 0.331 0.700 Cu
0.331 0.108 0.200 Cu
0.669 0.892 0.800 Cu
0.892 0.669 0.300 Cu
0.258 0.742 0.250 H
0.742 0.258 0.750 H
0.135 0.144 0.972 O
0.144 0.135 0.472 O
0.155 0.551 0.865 O
0.161 0.659 0.397 O
0.341 0.839 0.103 O
0.449 0.845 0.635 O
0.551 0.155 0.365 O
0.659 0.161 0.897 O
0.839 0.341 0.603 O
0.845 0.449 0.135 O
0.856 0.865 0.528 O
0.865 0.856 0.028 O